# 1
Material: MgSN2F
Method: DFT, GGA-PBEsol
State: optimized geometry

- total magnetic moment (μB per atom) = 0.000
- DOS(E_F) (states/eV/f.u.) = 1.42
- ΔE_f (raw) (eV per atom) = 0.224

Lattice parameters (Å, degrees): 3.367 3.367 4.956 90.00 90.00 90.00
Fractional coordinates of all 5 atoms:
Mg 0.000 0.000 0.000
S 0.500 0.500 0.500
N 0.000 0.500 0.500
N 0.500 0.000 0.500
F 0.500 0.500 0.000

# 2
Material: MgSbNF2
Method: DFT, GGA-PBEsol
State: optimized geometry

- total magnetic moment (μB per atom) = 0.000
- DOS(E_F) (states/eV/f.u.) = 1.54
- ΔE_f (raw) (eV per atom) = -0.747

Lattice parameters (Å, degrees): 4.376 4.376 4.271 90.00 90.00 90.00
Fractional coordinates of all 5 atoms:
Mg 0.000 0.000 0.000
Sb 0.500 0.500 0.500
N 0.500 0.500 0.000
F 0.000 0.500 0.500
F 0.500 0.000 0.500

Question: Which value of total magnetic moment does entry 1 give?
Answer: 0.000 μB per atom